Entry 1:
Here is a relaxed structure of SrPbCl2 from Alexandria. Energies are from GGA-PBE.

Properties
E above lowest polymorph   367 meV/atom
Symmetry   No. 160
Energy relative to the elements, uncorrected   -1.103 eV per atom
Crystal system   trigonal

Geometry as POSCAR:
```
SrPbCl2
1.0
4.2490 0.0000 0.0000
-2.1245 3.6797 0.0000
0.0000 0.0000 28.3848
Sr Pb Cl
3 3 6
Cartesian
0.0000 0.0000 0.0000
0.0000 2.4532 18.9232
2.1245 1.2266 9.4616
0.0000 0.0000 6.2764
0.0000 2.4532 25.1996
2.1245 1.2266 15.7380
0.0000 0.0000 14.0492
0.0000 0.0000 20.4023
0.0000 2.4532 4.5876
0.0000 2.4532 10.9407
2.1245 1.2266 1.4791
2.1245 1.2266 23.5108
```

---

Entry 2:
Here is a relaxed structure of PrInSe from Alexandria. Energies are from GGA-PBE.

Properties
Symmetry   No. 166
Energy relative to the elements, uncorrected   -1.034 eV per atom
Crystal system   trigonal

Geometry as POSCAR:
```
PrInSe
1.0
2.4448 1.4115 9.5222
-2.4448 1.4115 9.5222
0.0000 -2.8231 9.5222
Pr In Se
2 2 2
Cartesian
0.0000 0.0000 6.6008
0.0000 0.0000 21.9657
0.0000 0.0000 10.0424
0.0000 0.0000 18.5241
0.0000 0.0000 3.5390
0.0000 0.0000 25.0275
```

---

Entry 3:
Here is a relaxed structure of BeIn4Ir from Alexandria. Energies are from GGA-PBE.

Properties
Formation enthalpy at 0 K   958 meV per atom
Symmetry   No. 216
Crystal system   cubic

Geometry as POSCAR:
```
BeIn4Ir
1.0
0.0000 4.0667 4.0667
4.0667 0.0000 4.0667
4.0667 4.0667 0.0000
Be In Ir
1 4 1
Cartesian
0.0000 0.0000 0.0000
5.0810 3.0525 3.0525
3.0525 5.0810 3.0525
3.0525 3.0525 5.0810
5.0810 5.0810 5.0810
2.0334 2.0334 2.0334
```

---

Entry 4:
Here is a relaxed structure of Y5MgAg from Alexandria. Energies are from GGA-PBE.

Properties
Formation enthalpy at 0 K   47 meV per atom
Symmetry   No. 15
Crystal system   monoclinic

Geometry as POSCAR:
```
Y5MgAg
1.0
4.3028 -3.9608 0.0000
4.3028 3.9608 0.0000
-2.6930 0.0000 12.1394
Y Mg Ag
10 2 2
Cartesian
2.2830 3.8028 9.1046
0.5588 1.3956 7.6094
0.5812 1.1557 11.1742
1.9053 -1.3956 1.5397
3.9848 1.1557 7.0349
1.9277 -1.1557 5.1045
4.0073 1.3956 10.5997
5.3313 -1.1557 0.9652
5.3538 -1.3956 4.5300
3.6295 -3.8028 3.0349
3.6295 0.9541 3.0349
2.2830 -0.9541 9.1046
0.0000 0.0000 0.0000
-1.3465 0.0000 6.0697
```

---

Entry 5:
Here is a relaxed structure of Sr5Zn5Rh2 from Alexandria. Energies are from GGA-PBE.

Properties
Formation enthalpy at 0 K   -291 meV per atom
Symmetry   No. 12
Crystal system   monoclinic

Geometry as POSCAR:
```
Sr5Zn5Rh2
1.0
8.1880 -2.1717 0.0000
8.1880 2.1717 0.0000
-7.7566 0.0000 9.3291
Sr Zn Rh
5 5 2
Cartesian
0.0000 0.0000 0.0000
1.6865 0.0000 3.9334
4.8549 0.0000 1.6810
3.7645 0.0000 7.6481
6.9330 0.0000 5.3957
-3.8783 0.0000 4.6645
-1.3899 0.0000 2.9893
-1.7191 0.0000 7.8238
10.3386 0.0000 1.5053
10.0093 0.0000 6.3397
0.6304 0.0000 6.9183
7.9891 0.0000 2.4108
```

---

Entry 6:
Here is a relaxed structure of CaAs2C from Alexandria. Energies are from GGA-PBE.

Properties
Formation enthalpy at 0 K   115 meV per atom
Symmetry   No. 122
Crystal system   tetragonal

Geometry as POSCAR:
```
CaAs2C
1.0
6.4303 0.0000 0.0000
0.0000 6.4303 0.0000
0.0000 0.0000 7.5106
Ca As C
4 8 4
Cartesian
0.0000 0.0000 0.0000
0.0000 3.2151 1.8776
3.2151 0.0000 5.6329
3.2151 3.2151 3.7553
0.8867 4.8227 4.6941
1.6076 0.8867 2.8165
1.6076 2.3284 6.5718
2.3284 4.8227 0.9388
4.1018 1.6076 0.9388
4.8227 4.1018 6.5718
4.8227 5.5436 2.8165
5.5436 1.6076 4.6941
0.0000 0.0000 3.7553
0.0000 3.2151 5.6329
3.2151 0.0000 1.8776
3.2151 3.2151 0.0000
```